No. 1
{"formula": "Mn2BSb", "functional": "PBEsol", "state": "relaxed", "lattice": [[4.051, 0.000, 0.000], [2.026, 3.509, 0.000], [2.026, 1.170, 3.308]], "species": ["Sb", "B", "Mn", "Mn"], "frac_coords": [[0.500, 0.500, 0.500], [0.000, 0.000, 0.000], [0.250, 0.250, 0.250], [0.750, 0.750, 0.750]], "e_form_raw_ev_per_atom": 0.62, "energy_ev_per_cell": -28.61}

=====

No. 2
{"formula": "Co2ReHg", "functional": "PBEsol", "state": "relaxed", "lattice": [[-1.918, 1.669, 0.957], [-2.146, -1.024, -2.514], [-1.965, -4.200, 3.388]], "species": ["Re", "Co", "Co", "Hg"], "frac_coords": [[0.500, 0.500, 0.500], [0.000, 0.000, 0.711], [0.000, 0.000, 0.289], [0.500, 0.500, 0.000]], "formation_enthalpy_0k_ev_per_atom": 0.2738, "energy_ev_per_cell": -28.28}

=====

No. 3
{"formula": "TiMnTeN2", "functional": "PBEsol", "state": "relaxed", "lattice": [[3.708, 0.000, 0.000], [0.000, 3.708, 0.000], [0.000, 0.000, 5.202]], "species": ["N", "N", "Te", "Mn", "Ti"], "frac_coords": [[0.000, 0.500, 0.000], [0.500, 0.000, 0.000], [0.000, 0.000, 0.500], [0.000, 0.000, 0.000], [0.500, 0.500, 0.500]], "e_form_raw_ev_per_atom": 0.52, "energy_ev_per_cell": -36.09}

=====

No. 4
{"formula": "Sr3CoSb2O9", "functional": "PBEsol", "state": "relaxed", "lattice": [[-1.098, 4.105, 3.715], [-7.123, 1.230, -3.464], [0.589, -8.341, 5.102]], "species": ["Sr", "Sr", "Sr", "Sr", "Sr", "Sr", "Co", "Co", "Sb", "Sb", "Sb", "Sb", "O", "O", "O", "O", "O", "O", "O", "O", "O", "O", "O", "O", "O", "O", "O", "O", "O", "O"], "frac_coords": [[0.326, 0.585, 0.653], [0.674, 0.933, 0.347], [0.000, 0.230, 0.000], [0.674, 0.415, 0.347], [0.000, 0.770, 0.000], [0.326, 0.067, 0.653], [0.833, 0.833, 0.666], [0.167, 0.167, 0.334], [0.500, 0.000, 0.000], [0.832, 0.332, 0.664], [0.168, 0.668, 0.336], [0.500, 0.500, 0.000], [0.500, 0.747, 0.000], [0.836, 0.091, 0.671], [0.164, 0.419, 0.329], [0.500, 0.253, 0.000], [0.836, 0.581, 0.671], [0.164, 0.909, 0.329], [0.666, 0.919, 0.837], [0.000, 0.251, 0.501], [0.332, 0.582, 0.163], [0.171, 0.919, 0.837], [0.502, 0.251, 0.501], [0.831, 0.582, 0.163], [0.829, 0.081, 0.163], [0.169, 0.418, 0.837], [0.498, 0.749, 0.499], [0.334, 0.081, 0.163], [0.668, 0.418, 0.837], [0.000, 0.749, 0.499]], "e_form_raw_ev_per_atom": -2.02, "energy_ev_per_cell": -199.78}

=====

No. 5
{"formula": "Tl2AsW", "functional": "PBEsol", "state": "relaxed", "lattice": [[2.998, 0.000, 0.000], [0.000, 5.213, 0.000], [0.000, 0.000, 5.213]], "species": ["Tl", "Tl", "As", "W"], "frac_coords": [[0.000, 0.000, 0.500], [0.000, 0.500, 0.000], [0.500, 0.000, 0.000], [0.500, 0.500, 0.500]], "formation_enthalpy_0k_ev_per_atom": 0.9547, "energy_ev_per_cell": -20.36}

=====

No. 6
{"formula": "YZrH2Os", "functional": "PBEsol", "state": "relaxed", "lattice": [[4.000, 0.000, 0.000], [0.000, 4.000, 0.000], [0.000, 0.000, 4.887]], "species": ["Y", "H", "H", "Os", "Zr"], "frac_coords": [[0.500, 0.500, 0.500], [0.000, 0.500, 0.000], [0.500, 0.000, 0.000], [0.000, 0.000, 0.000], [0.000, 0.000, 0.500]], "energy_ev_per_cell": -31.17}

=====

No. 7
{"formula": "Ti2TeAs2", "functional": "PBEsol", "state": "relaxed", "lattice": [[-2.494, -3.019, -2.632], [2.891, -3.503, 1.278], [-2.749, 2.399, 4.083]], "species": ["As", "As", "Te", "Ti", "Ti"], "frac_coords": [[0.359, 0.359, 0.719], [0.641, 0.641, 0.281], [0.000, 0.000, 0.000], [0.250, 0.750, 0.500], [0.750, 0.250, 0.500]], "e_form_raw_ev_per_atom": -0.56, "energy_ev_per_cell": -33.18}

=====

No. 8
{"formula": "Cs3NaTa", "functional": "PBEsol", "state": "relaxed", "lattice": [[-5.070, 4.317, -2.549], [-4.305, -1.891, 5.360], [2.569, 5.350, 3.951]], "species": ["Cs", "Cs", "Cs", "Na", "Ta"], "frac_coords": [[0.000, 0.500, 0.000], [0.000, 0.000, 0.500], [0.500, 0.000, 0.000], [0.500, 0.500, 0.500], [0.000, 0.000, 0.000]], "formation_enthalpy_0k_ev_per_atom": 1.2345, "energy_ev_per_cell": -10.61}

=====

No. 9
{"formula": "CaAl3Fe", "functional": "PBEsol", "state": "relaxed", "lattice": [[-1.123, 4.301, 0.812], [-3.652, -0.458, -2.622], [-2.413, -1.308, 3.590]], "species": ["Ca", "Fe", "Al", "Al", "Al"], "frac_coords": [[0.500, 0.500, 0.500], [0.000, 0.000, 0.000], [0.000, 0.500, 0.000], [0.000, 0.000, 0.500], [0.500, 0.000, 0.000]], "formation_enthalpy_0k_ev_per_atom": -0.2486, "energy_ev_per_cell": -24.61}

=====

No. 10
{"formula": "Tc2MoRh", "functional": "PBEsol", "state": "relaxed", "lattice": [[-2.124, 0.656, -1.521], [-1.644, -0.539, 2.064], [0.575, 7.426, 2.398]], "species": ["Mo", "Rh", "Tc", "Tc"], "frac_coords": [[0.500, 0.500, 0.000], [0.500, 0.500, 0.500], [0.000, 0.000, 0.744], [0.000, 0.000, 0.256]], "formation_enthalpy_0k_ev_per_atom": 0.0673, "energy_ev_per_cell": -42.17}

=====

No. 11
{"formula": "Zr2TaAu", "functional": "PBEsol", "state": "relaxed", "lattice": [[-2.811, -0.657, -1.898], [0.576, -4.609, 0.743], [-2.674, 0.288, 3.860]], "species": ["Au", "Ta", "Zr", "Zr"], "frac_coords": [[0.500, 0.500, 0.500], [0.500, 0.000, 0.000], [0.000, 0.000, 0.500], [0.000, 0.500, 0.000]], "formation_enthalpy_0k_ev_per_atom": -0.2033, "energy_ev_per_cell": -35.47}

=====

No. 12
{"formula": "Ta2SiTe", "functional": "PBEsol", "state": "relaxed", "lattice": [[4.613, 0.000, 0.000], [2.307, 3.995, 0.000], [2.307, 1.332, 3.767]], "species": ["Si", "Ta", "Ta", "Te"], "frac_coords": [[0.500, 0.500, 0.500], [0.250, 0.250, 0.250], [0.750, 0.750, 0.750], [0.000, 0.000, 0.000]], "e_form_raw_ev_per_atom": 0.01, "energy_ev_per_cell": -34.34}

=====

No. 13
{"formula": "TaIn2P", "functional": "PBEsol", "state": "relaxed", "lattice": [[-1.971, 1.817, 1.422], [-3.958, -2.930, -1.742], [2.014, -1.420, 4.605]], "species": ["In", "In", "P", "Ta"], "frac_coords": [[0.000, 0.500, 0.000], [0.000, 0.000, 0.500], [0.500, 0.000, 0.000], [0.500, 0.500, 0.500]], "formation_enthalpy_0k_ev_per_atom": 0.2978, "energy_ev_per_cell": -23.12}

=====

No. 14
{"formula": "Li2Ca2Si5O13", "functional": "PBEsol", "state": "relaxed", "lattice": [[-0.514, 1.014, 7.434], [6.115, -3.801, 2.866], [5.229, 8.227, 2.982]], "species": ["Ca", "Ca", "Ca", "Ca", "Li", "Li", "Li", "Li", "O", "O", "O", "O", "O", "O", "O", "O", "O", "O", "O", "O", "O", "O", "O", "O", "O", "O", "O", "O", "O", "O", "O", "O", "O", "O", "Si", "Si", "Si", "Si", "Si", "Si", "Si", "Si", "Si", "Si"], "frac_coords": [[0.450, 0.855, 0.393], [0.550, 0.145, 0.607], [0.024, 0.167, 0.605], [0.976, 0.833, 0.395], [0.818, 0.925, 0.136], [0.182, 0.075, 0.864], [0.163, 0.406, 0.749], [0.837, 0.594, 0.251], [0.251, 0.663, 0.428], [0.749, 0.337, 0.572], [0.217, 0.496, 0.994], [0.783, 0.504, 0.006], [0.703, 0.057, 0.362], [0.297, 0.943, 0.638], [0.279, 0.327, 0.552], [0.721, 0.673, 0.448], [0.781, 0.177, 0.102], [0.219, 0.823, 0.898], [0.553, 0.403, 0.312], [0.447, 0.597, 0.688], [0.649, 0.777, 0.174], [0.351, 0.223, 0.826], [0.025, 0.763, 0.171], [0.975, 0.237, 0.829], [0.704, 0.826, 0.897], [0.296, 0.174, 0.103], [0.198, 0.397, 0.315], [0.802, 0.603, 0.685], [0.159, 0.058, 0.369], [0.841, 0.942, 0.631], [0.927, 0.309, 0.256], [0.073, 0.691, 0.744], [0.413, 0.683, 0.071], [0.587, 0.317, 0.929], [0.149, 0.228, 0.263], [0.851, 0.772, 0.737], [0.316, 0.451, 0.409], [0.684, 0.549, 0.591], [0.737, 0.234, 0.265], [0.263, 0.766, 0.735], [0.784, 0.310, 0.960], [0.216, 0.690, 0.040], [0.633, 0.701, 0.041], [0.367, 0.299, 0.959]], "e_form_raw_ev_per_atom": -2.85, "energy_ev_per_cell": -335.68}

=====

No. 15
{"formula": "CaCrCd", "functional": "PBEsol", "state": "relaxed", "lattice": [[-3.233, -0.748, 3.569], [1.257, -2.609, 3.919], [0.575, 2.201, 4.310]], "species": ["Cr", "Ca", "Cd"], "frac_coords": [[0.000, 0.000, 0.000], [0.500, 0.500, 0.500], [0.250, 0.250, 0.250]], "formation_enthalpy_0k_ev_per_atom": 0.6248, "energy_ev_per_cell": -11.70}

=====

No. 16
{"formula": "MnCoAg2", "functional": "PBEsol", "state": "relaxed", "lattice": [[-1.854, 3.150, -0.986], [-3.274, -1.898, 0.091], [2.124, 0.317, 4.288]], "species": ["Ag", "Ag", "Co", "Mn"], "frac_coords": [[0.750, 0.250, 0.500], [0.250, 0.750, 0.500], [0.500, 0.500, 0.000], [0.000, 0.000, 0.000]], "formation_enthalpy_0k_ev_per_atom": 0.4023, "energy_ev_per_cell": -22.51}

=====

No. 17
{"formula": "TiNiPb3", "functional": "PBEsol", "state": "relaxed", "lattice": [[-2.814, 0.064, 4.163], [-0.679, -4.964, -0.383], [4.108, -0.777, 2.789]], "species": ["Pb", "Pb", "Pb", "Ni", "Ti"], "frac_coords": [[0.000, 0.500, 0.000], [0.000, 0.000, 0.500], [0.500, 0.000, 0.000], [0.000, 0.000, 0.000], [0.500, 0.500, 0.500]], "formation_enthalpy_0k_ev_per_atom": 0.5701, "energy_ev_per_cell": -23.63}

=====

No. 18
{"formula": "Cr2InCu", "functional": "PBEsol", "state": "relaxed", "lattice": [[-0.576, 2.042, -1.535], [-4.669, -0.443, 1.163], [2.747, 2.854, 2.767]], "species": ["Cr", "Cr", "Cu", "In"], "frac_coords": [[0.000, 0.500, 0.000], [0.000, 0.000, 0.500], [0.500, 0.000, 0.000], [0.500, 0.500, 0.500]], "formation_enthalpy_0k_ev_per_atom": 0.5438, "energy_ev_per_cell": -25.63}

=====

No. 19
{"formula": "TcNi2HI", "functional": "PBEsol", "state": "relaxed", "lattice": [[3.392, 0.000, 0.000], [0.000, 4.685, 0.000], [0.000, 0.000, 4.685]], "species": ["I", "Ni", "Ni", "Tc", "H"], "frac_coords": [[0.000, 0.000, 0.000], [0.000, 0.000, 0.500], [0.000, 0.500, 0.000], [0.500, 0.500, 0.500], [0.500, 0.000, 0.000]], "energy_ev_per_cell": -21.72}

=====

No. 20
{"formula": "CaCuSi2", "functional": "PBEsol", "state": "relaxed", "lattice": [[3.902, 0.000, 0.000], [-1.951, 3.369, -0.128], [0.000, -2.052, 5.478]], "species": ["Ca", "Cu", "Si", "Si"], "frac_coords": [[0.000, 0.000, 0.500], [0.500, 0.000, 0.000], [0.787, 0.574, 0.860], [0.213, 0.426, 0.140]], "e_form_raw_ev_per_atom": -0.33, "energy_ev_per_cell": -19.30}